(1)
The following is a PBE calculation of an optimized crystal structure of Pr6Y2Mg, from the Alexandria database.

Calculated values
Energy of formation from the pure elements: 0.47 eV per formula unit
Energy above the most stable polymorph in this dataset: 0.28 eV per formula unit
Space group: No. 72

a b c (Å): 6.282 11.682 11.682
angles (deg): 48.25 105.62 105.62
Element x y z (fractional)
Y (0.940, 0.671, 0.829)
Y (0.560, 0.171, 0.329)
Y (0.060, 0.329, 0.171)
Y (0.440, 0.829, 0.671)
Pr (0.919, 0.919, 0.419)
Pr (0.726, 0.153, 0.005)
Pr (0.932, 0.505, 0.653)
Pr (0.068, 0.495, 0.347)
Pr (0.432, 0.653, 0.505)
Pr (0.226, 0.005, 0.153)
Pr (0.274, 0.847, 0.995)
Pr (0.568, 0.347, 0.495)
Pr (0.081, 0.081, 0.581)
Pr (0.419, 0.419, 0.919)
Pr (0.774, 0.995, 0.847)
Pr (0.581, 0.581, 0.081)
Mg (0.250, 0.250, 0.750)
Mg (0.750, 0.750, 0.250)

(2)
The following is a PBE calculation of an optimized crystal structure of Pm3SiHg, from the Alexandria database.

Calculated values
Energy above the most stable polymorph in this dataset: 0.16 eV per formula unit
Space group: No. 59
Formation energy without anion corrections: -0.428 eV/atom

a b c (Å): 4.440 7.318 9.252
angles (deg): 90.00 90.00 90.00
Element x y z (fractional)
Pm (0.750, 0.750, 0.079)
Pm (0.750, 0.992, 0.668)
Pm (0.250, 0.250, 0.921)
Pm (0.250, 0.492, 0.332)
Pm (0.750, 0.508, 0.668)
Pm (0.250, 0.008, 0.332)
Hg (0.750, 0.250, 0.156)
Hg (0.250, 0.750, 0.844)
Si (0.250, 0.250, 0.602)
Si (0.750, 0.750, 0.398)

(3)
The following is a PBE calculation of an optimized crystal structure of AcSm2Ni9, from the Alexandria database.

Calculated values
Energy of formation from the pure elements: -3.67 eV per formula unit
Space group: No. 166

a b c (Å): 5.088 5.088 8.732
angles (deg): 73.06 73.06 60.00
Element x y z (fractional)
Sm (0.860, 0.860, 0.421)
Sm (0.140, 0.140, 0.579)
Ni (0.500, 0.500, 0.500)
Ni (0.417, 0.916, 0.249)
Ni (0.332, 0.332, 0.003)
Ni (0.417, 0.417, 0.249)
Ni (0.583, 0.084, 0.751)
Ni (0.583, 0.583, 0.751)
Ni (0.668, 0.668, 0.997)
Ni (0.916, 0.417, 0.249)
Ni (0.084, 0.583, 0.751)
Ac (0.000, 0.000, 0.000)